a) This record from the Alexandria database describes a geometry-optimized Th2TlCu3 structure. The functional is PBE-GGA.

abc: 3.739 4.315 16.846
angles: 90.00 90.00 90.00
Sites, in units of the cell vectors:
Th 0.000 0.000 0.000
Th 0.000 0.500 0.208
Th 0.500 0.000 0.708
Th 0.500 0.500 0.500
Tl 0.000 0.000 0.391
Tl 0.500 0.500 0.891
Cu 0.000 0.000 0.563
Cu 0.000 0.500 0.638
Cu 0.000 0.500 0.781
Cu 0.500 0.000 0.138
Cu 0.500 0.000 0.281
Cu 0.500 0.500 0.063

Computed properties:
Size of the total moment (μB/atom): 0.000
ρ (kg/m³): 10498


b) This record from the Alexandria database describes a geometry-optimized Th2TlCu3 structure. The functional is PBE-GGA.

abc: 9.269 8.751 5.807
angles: 76.12 66.42 37.46
Sites, in units of the cell vectors:
Th 0.235 0.765 0.765
Th 0.250 0.250 0.250
Th 0.750 0.750 0.750
Th 0.765 0.235 0.235
Tl 0.335 0.335 0.665
Tl 0.665 0.665 0.335
Cu 0.162 0.162 0.838
Cu 0.162 0.678 0.322
Cu 0.322 0.838 0.162
Cu 0.678 0.162 0.838
Cu 0.838 0.322 0.678
Cu 0.838 0.838 0.162

Computed properties:
Size of the total moment (μB/atom): 0.000
ρ (kg/m³): 10973


What is the stability order? It is b), a), from most stable to least stable.